Entry 1:
Below is crystalline Sm2DyZn4Si4 at its relaxed geometry, with properties calculated at the PBE-GGA level.

- electronic total energy (eV/cell) = -46.91

a = 12.672 Å, b = 12.672 Å, c = 12.672 Å
α = 161.56°, β = 161.24°, γ = 26.42°
Fractional positions:
Sm: 0.144 0.144 0.000
Sm: 0.856 0.856 0.000
Dy: 0.500 0.000 0.500
Zn: 0.250 0.750 0.500
Zn: 0.407 0.407 0.000
Zn: 0.593 0.593 0.000
Zn: 0.750 0.250 0.500
Si: 0.047 0.547 0.500
Si: 0.310 0.310 0.000
Si: 0.690 0.690 0.000
Si: 0.953 0.453 0.500

Entry 2:
Below is crystalline DySiSn at its relaxed geometry, with properties calculated at the PBE-GGA level.

- energy above the most stable polymorph in this dataset (meV per atom) = 0
- electronic total energy (eV/cell) = -14.39

a = 4.792 Å, b = 4.792 Å, c = 4.792 Å
α = 60.00°, β = 60.00°, γ = 60.00°
Fractional positions:
Dy: 0.000 0.000 0.000
Si: 0.250 0.250 0.250
Sn: 0.500 0.500 0.500